Compound: Ba2CaBe
Source: Alexandria via LeMat-Bulk
Functional: PBE
Structure: optimized geometry

abc: 5.8785 5.8785 5.8785
angles: 120.08 120.08 89.87
Atoms (fractional coordinates):
Ba 0.0000 0.0000 0.0000
Ba 0.7500 0.2500 0.5000
Ca 0.5000 0.5000 0.0000
Be 0.2500 0.7500 0.5000

* crystal system: tetragonal
* total DFT energy (no corrections): -1.910 eV per atom



Compound: MnCrCl2
Source: Alexandria via LeMat-Bulk
Functional: PBE
Structure: optimized geometry

abc: 6.9166 6.9166 6.9166
angles: 149.76 149.76 43.29
Atoms (fractional coordinates):
Mn 0.0000 0.0000 0.0000
Cr 0.7500 0.2500 0.5000
Cl 0.2500 0.7500 0.5000
Cl 0.5000 0.5000 0.0000

* crystal system: tetragonal
* raw formation energy: 0.30 eV per formula unit
* energy above the most stable polymorph in this dataset: 8.02 kcal/mol of atoms



| no. | magnetic moment (μB/f.u.) |
| --- | --- |
| 1 | 0.00 |
| 2 | 8.79 |